Density functional theory data (PBEsol) for a relaxed Ag2HgAu crystal.

energy relative to the elements	-1.5	kJ per mole of atoms
total moment	0.00	μB/f.u.

Lattice parameters (Å, degrees): 9.5995 2.9664 5.0263 90.00 100.25 90.00
Last column: nearest neighbours and their distance in Å.
Space group Cm (No. 8)
One atom of each set of equivalent atoms:
1 Ag 0.0000 0.0000 0.0000 (multiplicity 2)  4 Au 2.88-2.96, 5 Ag 2.88-2.97, 3 Hg 2.89-2.93
2 Ag 0.2478 0.5000 0.2441 (multiplicity 2)  3 Au 2.88-2.91, 5 Ag 2.88-2.97, 4 Hg 2.91-2.93
3 Hg 0.2473 0.0000 0.7460 (multiplicity 2)  7 Ag 2.89-2.93, 3 Au 2.90-2.94, 2 Hg 2.97
4 Au 0.4948 0.0000 0.4882 (multiplicity 2)  7 Ag 2.88-2.96, 3 Hg 2.90-2.94, 2 Au 2.97